Record 1
Computed, not measured: an optimized crystal structure of Cu7Ag3 at the PBE level of DFT.

Calculated values
**Energy of formation from the pure elements**: 78 kJ/mol of formula units
**Energy above the lowest structure with this stoichiometry**: 36 meV/atom
**Uncorrected energy**: -33.68 eV/f.u.
**SG**: C2/m, No. 12

a = 8.8054 Å, b = 8.8054 Å, c = 5.7254 Å
α = 99.12°, β = 99.12°, γ = 18.17°
Fractional positions:
Ag  0.5000  0.5000  0.0000
Ag  0.1130  0.1130  0.3230
Ag  0.8870  0.8870  0.6770
Cu  0.6984  0.6984  0.0658
Cu  0.8962  0.8962  0.2164
Cu  0.2859  0.2859  0.3652
Cu  0.5000  0.5000  0.5000
Cu  0.7141  0.7141  0.6348
Cu  0.1038  0.1038  0.7836
Cu  0.3016  0.3016  0.9342


Record 2
Computed, not measured: an optimized crystal structure of CoNiGeTe3 at the PBE level of DFT.

Calculated values
**Energy above the lowest structure with this stoichiometry**: 8 meV/atom
**Uncorrected energy**: -27.30 eV/f.u.
**SG**: Cmcm, No. 63

a = 3.7972 Å, b = 6.6521 Å, c = 10.7816 Å
α = 90.00°, β = 90.00°, γ = 73.42°
Fractional positions:
Co  0.6461  0.7078  0.2500
Co  0.3539  0.2922  0.7500
Ge  0.2540  0.4920  0.2500
Ge  0.7460  0.5080  0.7500
Ni  0.0000  0.0000  0.0000
Ni  0.0000  0.0000  0.5000
Te  0.6353  0.7294  0.0177
Te  0.0059  0.9883  0.2500
Te  0.6353  0.7294  0.4823
Te  0.3647  0.2706  0.5177
Te  0.9941  0.0117  0.7500
Te  0.3647  0.2706  0.9823


Record 3
Computed, not measured: an optimized crystal structure of LuTaW at the PBE level of DFT.

Calculated values
**Energy of formation from the pure elements**: 211 kJ/mol of formula units
**Energy above the lowest structure with this stoichiometry**: 0 meV/atom
**Uncorrected energy**: -27.15 eV/f.u.
**SG**: F-43m, No. 216

a = 4.5654 Å, b = 4.5654 Å, c = 4.5654 Å
α = 60.00°, β = 60.00°, γ = 60.00°
Fractional positions:
Lu  0.2500  0.2500  0.2500
Ta  0.7500  0.7500  0.7500
W  0.0000  0.0000  0.0000


Record 4
Computed, not measured: an optimized crystal structure of Sc3FeSi3 at the PBE level of DFT.

Calculated values
**Uncorrected energy**: -49.14 eV/f.u.
**SG**: C2/m, No. 12

a = 5.3205 Å, b = 5.3205 Å, c = 12.7966 Å
α = 109.21°, β = 109.21°, γ = 43.73°
Fractional positions:
Fe  0.7538  0.7538  0.0865
Fe  0.2462  0.2462  0.9135
Sc  0.4771  0.4771  0.1211
Sc  0.2553  0.2553  0.2711
Sc  0.6008  0.6008  0.4199
Sc  0.3992  0.3992  0.5801
Sc  0.7447  0.7447  0.7289
Sc  0.5229  0.5229  0.8789
Si  0.1375  0.1375  0.0449
Si  0.9526  0.9526  0.2595
Si  0.8825  0.8825  0.4247
Si  0.1175  0.1175  0.5753
Si  0.0474  0.0474  0.7405
Si  0.8625  0.8625  0.9551


Record 5
Computed, not measured: an optimized crystal structure of HfTl2PbSe4 at the PBE level of DFT.

Calculated values
**Uncorrected energy**: -38.89 eV/f.u.
**SG**: C2/c, No. 15

a = 9.0829 Å, b = 9.0829 Å, c = 7.0485 Å
α = 106.73°, β = 106.73°, γ = 56.10°
Fractional positions:
Hf  0.8767  0.1233  0.2500
Hf  0.1233  0.8767  0.7500
Pb  0.3771  0.6229  0.2500
Pb  0.6229  0.3771  0.7500
Se  0.9962  0.2010  0.0041
Se  0.5498  0.2332  0.0340
Se  0.7668  0.4502  0.4660
Se  0.7990  0.0038  0.4959
Se  0.2010  0.9962  0.5041
Se  0.2332  0.5498  0.5340
Se  0.4502  0.7668  0.9660
Se  0.0038  0.7990  0.9959
Tl  0.8742  0.6221  0.2290
Tl  0.3779  0.1258  0.2710
Tl  0.6221  0.8742  0.7290
Tl  0.1258  0.3779  0.7710


Record 6
Computed, not measured: an optimized crystal structure of Fe3B at the PBE level of DFT.

Calculated values
**Uncorrected energy**: -32.47 eV/f.u.
**SG**: P4_2/n, No. 86

a = 4.2722 Å, b = 8.5320 Å, c = 8.5320 Å
α = 90.00°, β = 90.00°, γ = 90.00°
Each line ends with the local moment (μB).
Fractional positions:
B  0.7258  0.7945  0.0466  -0.16
B  0.2742  0.0466  0.2055  -0.16
B  0.2258  0.4534  0.2945  -0.16
B  0.7742  0.7055  0.4534  -0.16
B  0.7742  0.2945  0.5466  -0.16
B  0.2258  0.5466  0.7055  -0.16
B  0.2742  0.9534  0.7945  -0.16
B  0.7258  0.2055  0.9534  -0.16
Fe  0.2282  0.8627  0.0370  1.98
Fe  0.9734  0.3909  0.0835  2.20
Fe  0.4734  0.5835  0.1091  2.20
Fe  0.7718  0.0370  0.1373  1.99
Fe  0.4845  0.2823  0.1714  2.02
Fe  0.9845  0.6714  0.2177  2.04
Fe  0.5155  0.8286  0.2823  2.04
Fe  0.0155  0.2177  0.3286  2.02
Fe  0.7282  0.4630  0.3627  1.99
Fe  0.0266  0.9165  0.3909  2.20
Fe  0.5266  0.1091  0.4165  2.20
Fe  0.2718  0.6373  0.4630  1.98
Fe  0.2718  0.3627  0.5370  1.97
Fe  0.5266  0.8909  0.5835  2.22
Fe  0.0266  0.0835  0.6091  2.20
Fe  0.7282  0.5370  0.6373  1.97
Fe  0.0155  0.7823  0.6714  2.04
Fe  0.5155  0.1714  0.7177  2.04
Fe  0.9845  0.3286  0.7823  2.04
Fe  0.4845  0.7177  0.8286  2.04
Fe  0.7718  0.9630  0.8627  1.97
Fe  0.4734  0.4165  0.8909  2.20
Fe  0.9734  0.6091  0.9165  2.22
Fe  0.2282  0.1373  0.9630  1.97


Record 7
Computed, not measured: an optimized crystal structure of Sm2BeSi2Au at the PBE level of DFT.

Calculated values
**Uncorrected energy**: -31.22 eV/f.u.
**SG**: P-6m2, No. 187

a = 4.1132 Å, b = 4.1132 Å, c = 8.4470 Å
α = 90.00°, β = 90.00°, γ = 120.00°
Fractional positions:
Au  0.0000  0.0000  0.0000
Be  0.3333  0.6667  0.5000
Si  0.3333  0.6667  0.0000
Si  0.0000  0.0000  0.5000
Sm  0.6667  0.3333  0.2575
Sm  0.6667  0.3333  0.7425


Record 8
Computed, not measured: an optimized crystal structure of Er4SnB2Pb at the PBE level of DFT.

Calculated values
**Uncorrected energy**: -41.28 eV/f.u.
**SG**: P-6m2, No. 187

a = 3.6376 Å, b = 3.6376 Å, c = 16.4356 Å
α = 90.00°, β = 90.00°, γ = 120.00°
Fractional positions:
B  0.6667  0.3333  0.2521
B  0.6667  0.3333  0.7479
Er  0.3333  0.6667  0.1620
Er  0.0000  0.0000  0.3438
Er  0.0000  0.0000  0.6562
Er  0.3333  0.6667  0.8380
Pb  0.0000  0.0000  0.0000
Sn  0.3333  0.6667  0.5000


Record 9
Computed, not measured: an optimized crystal structure of NiBMoW at the PBE level of DFT.

Calculated values
**Energy above the lowest structure with this stoichiometry**: 0 meV/atom
**Uncorrected energy**: -34.83 eV/f.u.
**SG**: F-43m, No. 216

a = 4.0981 Å, b = 4.0981 Å, c = 4.0981 Å
α = 60.00°, β = 60.00°, γ = 60.00°
Fractional positions:
B  0.0000  0.0000  0.0000
Mo  0.7500  0.7500  0.7500
Ni  0.5000  0.5000  0.5000
W  0.2500  0.2500  0.2500


Record 10
Computed, not measured: an optimized crystal structure of Sr2CuNiAs2 at the PBE level of DFT.

Calculated values
**Uncorrected energy**: -26.76 eV/f.u.
**SG**: P-6m2, No. 187

a = 4.1727 Å, b = 4.1727 Å, c = 8.7985 Å
α = 90.00°, β = 90.00°, γ = 120.00°
Fractional positions:
As  0.6667  0.3333  0.0000
As  0.0000  0.0000  0.5000
Cu  0.0000  0.0000  0.0000
Ni  0.6667  0.3333  0.5000
Sr  0.3333  0.6667  0.2547
Sr  0.3333  0.6667  0.7453


Record 11
Computed, not measured: an optimized crystal structure of Ag2SeO at the PBE level of DFT.

Calculated values
**Energy above the lowest structure with this stoichiometry**: 0 meV/atom
**Uncorrected energy**: -14.24 eV/f.u.
**SG**: Cmc2_1, No. 36

a = 6.5059 Å, b = 6.5059 Å, c = 6.4033 Å
α = 90.00°, β = 90.00°, γ = 31.21°
Fractional positions:
Ag  0.2798  0.2798  0.0374
Ag  0.0004  0.0004  0.2850
Ag  0.7202  0.7202  0.5374
Ag  0.9996  0.9996  0.7850
O  0.8884  0.8884  0.0358
O  0.1116  0.1116  0.5358
Se  0.6307  0.6307  0.0343
Se  0.3693  0.3693  0.5343


Record 12
Computed, not measured: an optimized crystal structure of Tb5SmSe6 at the PBE level of DFT.

Calculated values
**Uncorrected energy**: -70.13 eV/f.u.
**SG**: C2/m, No. 12

a = 7.1127 Å, b = 7.1127 Å, c = 7.0881 Å
α = 99.63°, β = 99.63°, γ = 120.11°
Fractional positions:
Se  0.7455  0.7455  0.2505
Se  0.4226  0.0842  0.2532
Se  0.0842  0.4226  0.2532
Se  0.9158  0.5774  0.7468
Se  0.5774  0.9158  0.7468
Se  0.2545  0.2545  0.7495
Sm  0.0000  0.0000  0.0000
Tb  0.6660  0.3340  0.0000
Tb  0.3340  0.6660  0.0000
Tb  0.8368  0.1632  0.5000
Tb  0.5000  0.5000  0.5000
Tb  0.1632  0.8368  0.5000


Record 13
Computed, not measured: an optimized crystal structure of Tb2Pt at the PBE level of DFT.

Calculated values
**Energy of formation from the pure elements**: 89 kJ/mol of formula units
**Uncorrected energy**: -14.40 eV/f.u.
**SG**: Fd-3m, No. 227

a = 5.8670 Å, b = 5.8670 Å, c = 5.8670 Å
α = 60.00°, β = 60.00°, γ = 60.00°
Fractional positions:
Pt  0.0000  0.0000  0.0000
Pt  0.2500  0.2500  0.2500
Tb  0.6250  0.6250  0.1250
Tb  0.6250  0.1250  0.6250
Tb  0.1250  0.6250  0.6250
Tb  0.6250  0.6250  0.6250


Record 14
Computed, not measured: an optimized crystal structure of Bi2Pt2Pb3 at the PBE level of DFT.

Calculated values
**Uncorrected energy**: -31.53 eV/f.u.
**SG**: R3m, No. 160

a = 9.2720 Å, b = 9.2720 Å, c = 9.2720 Å
α = 30.85°, β = 30.85°, γ = 30.85°
Fractional positions:
Bi  0.1815  0.1815  0.1815
Bi  0.7766  0.7766  0.7766
Pb  0.3734  0.3734  0.3734
Pb  0.6418  0.6418  0.6418
Pb  0.9082  0.9082  0.9082
Pt  0.0129  0.0129  0.0129
Pt  0.4807  0.4807  0.4807


Record 15
Computed, not measured: an optimized crystal structure of NaCuSiTeS2 at the PBE level of DFT.

Calculated values
**Uncorrected energy**: -24.00 eV/f.u.
**SG**: Cmcm, No. 63

a = 7.3534 Å, b = 7.3534 Å, c = 10.4311 Å
α = 90.00°, β = 90.00°, γ = 153.27°
Fractional positions:
Cu  0.9318  0.0682  0.2500
Cu  0.0682  0.9318  0.7500
Na  0.2668  0.7332  0.2500
Na  0.7332  0.2668  0.7500
S  0.8886  0.1114  0.0481
S  0.8886  0.1114  0.4519
S  0.1114  0.8886  0.5481
S  0.1114  0.8886  0.9519
Si  0.5000  0.5000  0.0000
Si  0.5000  0.5000  0.5000
Te  0.5779  0.4221  0.2500
Te  0.4221  0.5779  0.7500


Record 16
Computed, not measured: an optimized crystal structure of LuPuBe at the PBE level of DFT.

Calculated values
**Energy above the lowest structure with this stoichiometry**: 0 meV/atom
**Uncorrected energy**: -21.14 eV/f.u.
**SG**: F-43m, No. 216

a = 4.5145 Å, b = 4.5145 Å, c = 4.5145 Å
α = 60.00°, β = 60.00°, γ = 60.00°
Each line ends with the local moment (μB).
Fractional positions:
Be  0.0000  0.0000  0.0000  -0.04
Lu  0.2500  0.2500  0.2500  0.26
Pu  0.7500  0.7500  0.7500  5.26


Record 17
Computed, not measured: an optimized crystal structure of Nd3Gd3CoTe2 at the PBE level of DFT.

Calculated values
**Energy above the lowest structure with this stoichiometry**: 0 meV/atom
**Uncorrected energy**: -47.94 eV/f.u.
**SG**: P-62m, No. 189

a = 8.5493 Å, b = 8.5493 Å, c = 3.9880 Å
α = 90.00°, β = 90.00°, γ = 120.00°
Fractional positions:
Co  0.0000  0.0000  0.0000
Gd  0.2330  0.0000  0.5000
Gd  0.0000  0.2330  0.5000
Gd  0.7670  0.7670  0.5000
Nd  0.5916  0.0000  0.0000
Nd  0.4084  0.4084  0.0000
Nd  0.0000  0.5916  0.0000
Te  0.6667  0.3333  0.5000
Te  0.3333  0.6667  0.5000


Record 18
Computed, not measured: an optimized crystal structure of LaZrBeIr2 at the PBE level of DFT.

Calculated values
**Uncorrected energy**: -37.37 eV/f.u.
**SG**: I4mm, No. 107

a = 5.9956 Å, b = 5.9956 Å, c = 5.9956 Å
α = 137.86°, β = 137.86°, γ = 61.11°
Fractional positions:
Be  0.6495  0.6495  0.0000
Ir  0.7291  0.2291  0.5000
Ir  0.2291  0.7291  0.5000
La  0.0145  0.0145  0.0000
Zr  0.3779  0.3779  0.0000


Record 19
Computed, not measured: an optimized crystal structure of NaIrSeO at the PBE level of DFT.

Calculated values
**Energy above the lowest structure with this stoichiometry**: 20 meV/atom
**Uncorrected energy**: -21.05 eV/f.u.
**SG**: P2_1/c, No. 14

a = 6.3614 Å, b = 6.9395 Å, c = 6.1369 Å
α = 90.00°, β = 105.69°, γ = 90.00°
Fractional positions:
Ir  0.5209  0.6207  0.2413
Ir  0.4791  0.1207  0.2587
Ir  0.5209  0.8793  0.7413
Ir  0.4791  0.3793  0.7587
Na  0.1020  0.7636  0.0166
Na  0.8980  0.2636  0.4834
Na  0.1020  0.7364  0.5166
Na  0.8980  0.2364  0.9834
O  0.6318  0.3624  0.1285
O  0.3682  0.8624  0.3715
O  0.6318  0.1376  0.6285
O  0.3682  0.6376  0.8715
Se  0.7283  0.8912  0.1427
Se  0.2717  0.3912  0.3573
Se  0.7283  0.6088  0.6427
Se  0.2717  0.1088  0.8573


Record 20
Computed, not measured: an optimized crystal structure of YScGa2Ni4 at the PBE level of DFT.

Calculated values
**Uncorrected energy**: -45.66 eV/f.u.
**SG**: P-6m2, No. 187

a = 4.0996 Å, b = 4.0996 Å, c = 8.4492 Å
α = 90.00°, β = 90.00°, γ = 120.00°
Fractional positions:
Ga  0.6667  0.3333  0.2366
Ga  0.6667  0.3333  0.7634
Ni  0.3333  0.6667  0.1628
Ni  0.0000  0.0000  0.3068
Ni  0.0000  0.0000  0.6932
Ni  0.3333  0.6667  0.8372
Sc  0.0000  0.0000  0.0000
Y  0.3333  0.6667  0.5000